Compound: CdHgW2O8
Source: the Alexandria database
Functional: GGA+U
Structure: relaxed

- Crystal system: tetragonal
- Electronic total energy: -6.042 eV/atom
- V: 15.59 Å³/atom

a b c (Å): 6.2413 6.2413 6.2413
angles (deg): 108.91 108.91 110.61
Fractional coordinates of all 12 atoms:
Cd  0.0000  0.0000  0.0000
Hg  0.7500  0.2500  0.5000
W  0.2500  0.7500  0.5000
W  0.5000  0.5000  0.0000
O  0.0995  0.3969  0.2974
O  0.0995  0.8022  0.7026
O  0.1462  0.3448  0.8014
O  0.1978  0.9005  0.2974
O  0.5433  0.3448  0.1986
O  0.6031  0.9005  0.7026
O  0.6552  0.4567  0.8014
O  0.6552  0.8538  0.1986